{
  "formula": "Mg2InPb",
  "functional": "PBE",
  "state": "relaxed",
  "vol_a3_per_atom": 26.0,
  "rho_g_cm3": 5.9,
  "delta_e_f_ev_per_atom": -0.007,
  "lattice_angstrom": [[3.368, 0.000, 0.000], [0.000, 3.368, 0.000], [0.000, 0.000, 9.161]],
  "species": ["Mg", "Mg", "In", "Pb"],
  "frac_coords": [[0.000, 0.000, 0.000], [0.500, 0.500, 0.233], [0.500, 0.500, 0.771], [0.000, 0.000, 0.485]]
}